Entry from Alexandria: NaCo3Si after structural relaxation (PBE-GGA).

Cell and atoms, written as CIF:
```
data_NaCo3Si
_cell_length_a 4.285
_cell_length_b 4.285
_cell_length_c 4.285
_cell_angle_alpha 90.00
_cell_angle_beta 90.00
_cell_angle_gamma 90.00
_space_group_name_H-M_alt 'P m -3 m'
_space_group_IT_number 221
_space_group_name_Hall '-P 4 2 3'
loop_
_atom_site_label
_atom_site_type_symbol
_atom_site_fract_x
_atom_site_fract_y
_atom_site_fract_z
_atom_site_occupancy
Na1 Na 0.000 0.000 0.000 1
Co1 Co 0.000 0.000 0.500 1
Si1 Si 0.500 0.500 0.500 1
```

DFT total energy in eV per atom: -3.686
Mass density in g/cm3: 4.81
ΔE_f (raw) in meV per atom: 1926
D(E_F) in states/eV/f.u.: 5.8
Crystal system: cubic
E above lowest polymorph in eV per atom: 1.347


Entry from Alexandria: Ca5ErS6 after structural relaxation (PBE-GGA).

Cell and atoms, written as CIF:
```
data_Ca5ErS6
_cell_length_a 6.930
_cell_length_b 11.998
_cell_length_c 6.931
_cell_angle_alpha 90.00
_cell_angle_beta 109.49
_cell_angle_gamma 90.00
_space_group_name_H-M_alt 'C 1 2/m 1'
_space_group_IT_number 12
_space_group_name_Hall '-C 2y'
loop_
_atom_site_label
_atom_site_type_symbol
_atom_site_fract_x
_atom_site_fract_y
_atom_site_fract_z
_atom_site_occupancy
Ca1 Ca 0.000 0.000 0.000 1
Ca2 Ca 0.000 0.166 0.500 1
Ca3 Ca 0.000 0.332 0.000 1
Er1 Er 0.000 0.500 0.500 1
S1 S 0.243 0.500 0.255 1
S2 S 0.244 0.337 0.745 1
```

DFT total energy in eV per atom: -5.391
Mass density in g/cm3: 3.42
ΔE_f (raw) in meV per atom: -2113
D(E_F) in states/eV/f.u.: 2.3
Crystal system: monoclinic


Entry from Alexandria: Fe2SbAu2 after structural relaxation (PBE-GGA).

Cell and atoms, written as CIF:
```
data_Fe2SbAu2
_cell_length_a 6.594
_cell_length_b 6.594
_cell_length_c 3.937
_cell_angle_alpha 90.00
_cell_angle_beta 90.00
_cell_angle_gamma 90.00
_space_group_name_H-M_alt 'P 4/m b m'
_space_group_IT_number 127
_space_group_name_Hall '-P 4 2ab'
loop_
_atom_site_label
_atom_site_type_symbol
_atom_site_fract_x
_atom_site_fract_y
_atom_site_fract_z
_atom_site_occupancy
Fe1 Fe 0.127 0.373 0.000 1
Sb1 Sb 0.000 0.000 0.000 1
Au1 Au 0.161 0.661 0.500 1
```

DFT total energy in eV per atom: -5.312
Mass density in g/cm3: 12.17
ΔE_f (raw) in meV per atom: 209
D(E_F) in states/eV/f.u.: 3.3
Crystal system: tetragonal


Entry from Alexandria: SmTcMo after structural relaxation (PBE-GGA).

Cell and atoms, written as CIF:
```
data_SmTcMo
_cell_length_a 5.477
_cell_length_b 5.585
_cell_length_c 7.747
_cell_angle_alpha 90.00
_cell_angle_beta 90.00
_cell_angle_gamma 90.00
_space_group_name_H-M_alt 'I m m a'
_space_group_IT_number 74
_space_group_name_Hall '-I 2b 2'
loop_
_atom_site_label
_atom_site_type_symbol
_atom_site_fract_x
_atom_site_fract_y
_atom_site_fract_z
_atom_site_occupancy
Sm1 Sm 0.000 0.250 0.127 1
Tc1 Tc 0.000 0.000 0.500 1
Mo1 Mo 0.250 0.250 0.750 1
```

DFT total energy in eV per atom: -8.586
Mass density in g/cm3: 9.65
D(E_F) in states/eV/f.u.: 2.4
Crystal system: orthorhombic
E above lowest polymorph in eV per atom: 0.000
E_form in eV/atom: 0.053


Entry from Alexandria: Al6Ag3Pd after structural relaxation (PBE-GGA).

Cell and atoms, written as CIF:
```
data_Al6Ag3Pd
_cell_length_a 4.871
_cell_length_b 7.713
_cell_length_c 9.448
_cell_angle_alpha 90.00
_cell_angle_beta 91.23
_cell_angle_gamma 90.00
_space_group_name_H-M_alt 'P 1 21/c 1'
_space_group_IT_number 14
_space_group_name_Hall '-P 2ybc'
loop_
_atom_site_label
_atom_site_type_symbol
_atom_site_fract_x
_atom_site_fract_y
_atom_site_fract_z
_atom_site_occupancy
Al1 Al 0.028 0.174 0.014 1
Al2 Al 0.195 0.534 0.253 1
Al3 Al 0.448 0.651 0.916 1
Ag1 Ag 0.307 0.181 0.293 1
Ag2 Ag 0.500 0.000 0.000 1
Pd1 Pd 0.000 0.000 0.500 1
```

DFT total energy in eV per atom: -3.733
Mass density in g/cm3: 5.54
D(E_F) in states/eV/f.u.: 2.7
Crystal system: monoclinic
E_form in eV/atom: -0.113


Entry from Alexandria: PmPuTcOs after structural relaxation (PBE-GGA).

Cell and atoms, written as CIF:
```
data_PmPuTcOs
_cell_length_a 6.865
_cell_length_b 6.865
_cell_length_c 6.865
_cell_angle_alpha 90.00
_cell_angle_beta 90.00
_cell_angle_gamma 90.00
_space_group_name_H-M_alt 'F -4 3 m'
_space_group_IT_number 216
_space_group_name_Hall 'F -4 2 3'
loop_
_atom_site_label
_atom_site_type_symbol
_atom_site_fract_x
_atom_site_fract_y
_atom_site_fract_z
_atom_site_occupancy
Pm1 Pm 0.000 0.000 0.000 1
Pu1 Pu 0.000 0.000 0.500 1
Tc1 Tc 0.250 0.250 0.250 1
Os1 Os 0.250 0.250 0.750 1
```

DFT total energy in eV per atom: -10.018
Mass density in g/cm3: 13.91
D(E_F) in states/eV/f.u.: 5.2
Crystal system: cubic
E_form in eV/atom: 0.152